# 1
Compound: Tc2PRu
Source: Alexandria
Functional: PBE
Structure: optimized geometry

Calculated values
Raw total energy: -9.099 eV/atom
ΔE_f: -0.2446 eV per atom
Size of the total moment: 0.00 Bohr magnetons per cell

a = 2.870 Å, b = 2.870 Å, c = 6.538 Å
α = 90.00°, β = 90.00°, γ = 90.00°
Sites, in units of the cell vectors:
1 Tc 0.000 0.000 0.031
2 Tc 0.000 0.000 0.469
3 Ru 0.500 0.500 0.750
4 P 0.500 0.500 0.250


# 2
Compound: SrNi4Ir
Source: Alexandria
Functional: PBE
Structure: optimized geometry

Calculated values
Raw total energy: -5.374 eV/atom
ΔE_f: 0.2377 eV per atom
Size of the total moment: 3.13 Bohr magnetons per cell

a = 4.974 Å, b = 4.974 Å, c = 4.974 Å
α = 60.00°, β = 60.00°, γ = 60.00°
Each line ends with the local moment (μB).
Sites, in units of the cell vectors:
1 Ni 0.374 0.374 0.879  0.66
2 Ni 0.879 0.374 0.374  0.66
3 Ni 0.374 0.879 0.374  0.66
4 Ni 0.374 0.374 0.374  0.66
5 Ir 0.000 0.000 0.000  0.63
6 Sr 0.750 0.750 0.750  -0.02


# 3
Compound: DyPaCoS4
Source: Alexandria
Functional: PBE
Structure: optimized geometry

Calculated values
Raw total energy: -6.807 eV/atom
Size of the total moment: 0.00 Bohr magnetons per cell

a = 6.318 Å, b = 5.687 Å, c = 7.633 Å
α = 90.00°, β = 105.60°, γ = 90.00°
Sites, in units of the cell vectors:
1 Co 0.760 0.250 0.661
2 Co 0.240 0.750 0.339
3 Pa 0.753 0.750 0.443
4 Pa 0.247 0.250 0.557
5 S 0.428 0.750 0.125
6 S 0.985 0.008 0.244
7 S 0.985 0.492 0.244
8 S 0.572 0.250 0.875
9 S 0.015 0.992 0.756
10 S 0.015 0.508 0.756
11 S 0.429 0.750 0.615
12 S 0.571 0.250 0.385
13 Dy 0.737 0.750 0.937
14 Dy 0.263 0.250 0.063